Record 1
Pa2Ni2P3 | GGA-PBE | optimized geometry

Magnetic moment (μB/f.u.): 0.7
DFT formation energy (eV per formula unit): -6.2
Uncorrected energy (eV per atom): -7.562
SG: P2_1/c (14)

Cell and atoms, written as CIF:
```
data_Pa2Ni2P3
_cell_length_a 7.589
_cell_length_b 6.096
_cell_length_c 6.431
_cell_angle_alpha 90.00
_cell_angle_beta 54.92
_cell_angle_gamma 90.00
_space_group_name_H-M_alt 'P 1'
_space_group_IT_number 1
_space_group_name_Hall 'P 1'
loop_
_atom_site_label
_atom_site_type_symbol
_atom_site_fract_x
_atom_site_fract_y
_atom_site_fract_z
_atom_site_occupancy
Pa1 Pa 0.595 0.174 0.202 1
P1 P 0.266 0.429 0.669 1
P2 P 0.766 0.071 0.669 1
Pa2 Pa 0.405 0.826 0.798 1
Pa3 Pa 0.095 0.326 0.202 1
Ni1 Ni 0.442 0.683 0.344 1
P3 P 0.734 0.571 0.331 1
Ni2 Ni 0.942 0.817 0.344 1
P4 P 0.500 0.500 0.000 1
P5 P 0.000 0.000 0.000 1
Ni3 Ni 0.558 0.317 0.656 1
Pa4 Pa 0.905 0.674 0.798 1
Ni4 Ni 0.058 0.183 0.656 1
P6 P 0.234 0.929 0.331 1
```

Record 2
BeRhW2 | GGA-PBE | optimized geometry

Magnetic moment (μB/f.u.): 0.0
DFT formation energy (eV per formula unit): -0.5
Uncorrected energy (eV per atom): -9.367
SG: P4mm (99)

Cell and atoms, written as CIF:
```
data_BeRhW2
_cell_length_a 2.743
_cell_length_b 2.743
_cell_length_c 7.229
_cell_angle_alpha 90.00
_cell_angle_beta 90.00
_cell_angle_gamma 90.04
_space_group_name_H-M_alt 'P 1'
_space_group_IT_number 1
_space_group_name_Hall 'P 1'
loop_
_atom_site_label
_atom_site_type_symbol
_atom_site_fract_x
_atom_site_fract_y
_atom_site_fract_z
_atom_site_occupancy
Rh1 Rh 0.500 0.500 0.709 1
W1 W 0.500 0.500 0.290 1
Be1 Be 0.000 0.000 0.526 1
W2 W 0.000 0.000 0.975 1
```

Record 3
MgBiAu | GGA-PBE | optimized geometry

Magnetic moment (μB/f.u.): 0.0
DFT formation energy (eV per formula unit): -0.9
Uncorrected energy (eV per atom): -3.207
SG: P1 (1)

Cell and atoms, written as CIF:
```
data_MgBiAu
_cell_length_a 3.362
_cell_length_b 3.448
_cell_length_c 12.655
_cell_angle_alpha 105.68
_cell_angle_beta 82.43
_cell_angle_gamma 89.98
_space_group_name_H-M_alt 'P 1'
_space_group_IT_number 1
_space_group_name_Hall 'P 1'
loop_
_atom_site_label
_atom_site_type_symbol
_atom_site_fract_x
_atom_site_fract_y
_atom_site_fract_z
_atom_site_occupancy
Au1 Au 0.441 0.258 0.786 1
Mg1 Mg 0.005 0.632 0.659 1
Mg2 Mg 0.875 0.891 0.920 1
Au2 Au 0.314 0.513 0.042 1
Bi1 Bi 0.730 0.185 0.217 1
Bi2 Bi 0.603 0.948 0.470 1
```

Record 4
V2BH | GGA-PBE | optimized geometry

Magnetic moment (μB/f.u.): 0.0
Uncorrected energy (eV per atom): -7.183
SG: I-42d (122)

Cell and atoms, written as CIF:
```
data_V2BH
_cell_length_a 5.259
_cell_length_b 5.259
_cell_length_c 4.521
_cell_angle_alpha 54.43
_cell_angle_beta 54.43
_cell_angle_gamma 90.00
_space_group_name_H-M_alt 'P 1'
_space_group_IT_number 1
_space_group_name_Hall 'P 1'
loop_
_atom_site_label
_atom_site_type_symbol
_atom_site_fract_x
_atom_site_fract_y
_atom_site_fract_z
_atom_site_occupancy
V1 V 0.375 0.422 0.750 1
B1 B 0.750 0.250 0.500 1
H1 H 0.250 0.750 0.500 1
B2 B 0.000 0.000 0.000 1
V2 V 0.172 0.625 0.250 1
V3 V 0.875 0.828 0.750 1
H2 H 0.500 0.500 0.000 1
V4 V 0.578 0.125 0.250 1
```

Record 5
La8HRu3I4 | GGA-PBE | optimized geometry

Magnetic moment (μB/f.u.): 0.0
Uncorrected energy (eV per atom): -5.586
SG: C2/m (12)

Cell and atoms, written as CIF:
```
data_La8HRu3I4
_cell_length_a 8.313
_cell_length_b 9.584
_cell_length_c 8.321
_cell_angle_alpha 115.78
_cell_angle_beta 119.97
_cell_angle_gamma 90.00
_space_group_name_H-M_alt 'P 1'
_space_group_IT_number 1
_space_group_name_Hall 'P 1'
loop_
_atom_site_label
_atom_site_type_symbol
_atom_site_fract_x
_atom_site_fract_y
_atom_site_fract_z
_atom_site_occupancy
La1 La 0.231 0.684 0.461 1
I1 I 0.000 0.000 0.000 1
H1 H 0.000 0.500 0.000 1
Ru1 Ru 0.500 0.500 0.000 1
Ru2 Ru 0.500 0.500 0.500 1
La2 La 0.769 0.316 0.539 1
La3 La 0.730 0.691 0.460 1
La4 La 0.769 0.316 0.047 1
La5 La 0.270 0.309 0.540 1
I2 I 0.500 0.000 0.500 1
I3 I 0.500 0.000 0.000 1
La6 La 0.231 0.684 0.953 1
La7 La 0.278 0.316 0.047 1
I4 I 0.000 0.000 0.500 1
Ru3 Ru 0.000 0.500 0.500 1
La8 La 0.722 0.684 0.953 1
```

Record 6
NiP2Cl | GGA-PBE | optimized geometry

Magnetic moment (μB/f.u.): 0.0
Uncorrected energy (eV per atom): -4.497
SG: P4/mmm (123)
Formation energy from raw total energies (eV/atom): 0.1153

Cell and atoms, written as CIF:
```
data_NiP2Cl
_cell_length_a 2.617
_cell_length_b 2.617
_cell_length_c 10.565
_cell_angle_alpha 90.00
_cell_angle_beta 90.00
_cell_angle_gamma 90.00
_space_group_name_H-M_alt 'P 1'
_space_group_IT_number 1
_space_group_name_Hall 'P 1'
loop_
_atom_site_label
_atom_site_type_symbol
_atom_site_fract_x
_atom_site_fract_y
_atom_site_fract_z
_atom_site_occupancy
P1 P 0.000 0.000 0.901 1
P2 P 0.000 0.000 0.599 1
Cl1 Cl 0.500 0.500 0.250 1
Ni1 Ni 0.500 0.500 0.750 1
```